A plane-wave DFT calculation with PBE-GGA was carried out for an optimized crystal structure of LiHoMnCo.

abc: 4.494 4.494 4.494
angles: 60.00 60.00 60.00
Site moments in Bohr magnetons follow the coordinates.
Sites, in units of the cell vectors:
Mn (0.000, 0.000, 0.000)  3.47
Co (0.250, 0.250, 0.250)  0.86
Ho (0.500, 0.500, 0.500)  -0.36
Li (0.750, 0.750, 0.750)  -0.06

Output
**Spin magnetization**: 3.93 μB per formula unit
**Volume**: 16.05 Å³/atom
**Crystal system**: cubic
**Calculated formation energy**: 0.09 eV/atom
**Space-group type**: F-43m


A plane-wave DFT calculation with PBE-GGA was carried out for an optimized crystal structure of TaSb3Br.

abc: 5.348 5.348 5.348
angles: 90.00 90.00 90.00
Sites, in units of the cell vectors:
Sb (0.000, 0.500, 0.000)
Sb (0.000, 0.000, 0.500)
Sb (0.500, 0.000, 0.000)
Br (0.500, 0.500, 0.500)
Ta (0.000, 0.000, 0.000)

Output
**Spin magnetization**: 0.00 μB per formula unit
**Energy above the most stable polymorph in this dataset**: 0.000 eV/atom
**Energy relative to the elements, uncorrected**: 0.189 eV/atom
**Volume**: 30.59 Å³/atom
**Crystal system**: cubic
**Space-group type**: Pm-3m


A plane-wave DFT calculation with PBE-GGA was carried out for an optimized crystal structure of Ti3VFe2.

abc: 2.964 2.964 9.307
angles: 90.00 90.00 90.00
Sites, in units of the cell vectors:
Ti (0.000, 0.000, 0.000)
Ti (0.000, 0.000, 0.683)
Ti (0.000, 0.000, 0.317)
V (0.500, 0.500, 0.500)
Fe (0.500, 0.500, 0.842)
Fe (0.500, 0.500, 0.158)

Output
**Spin magnetization**: 0.00 μB per formula unit
**Volume**: 13.62 Å³/atom
**Crystal system**: tetragonal
**Calculated formation energy**: -0.24 eV/atom
**Space-group type**: P4/mmm


A plane-wave DFT calculation with PBE-GGA was carried out for an optimized crystal structure of RbMn2CuRh.

abc: 4.995 4.774 4.995
angles: 90.00 90.00 90.00
Site moments in Bohr magnetons follow the coordinates.
Sites, in units of the cell vectors:
Mn (0.000, 0.000, 0.500)  3.77
Mn (0.500, 0.000, 0.000)  4.07
Rh (0.000, 0.500, 0.000)  0.22
Cu (0.500, 0.500, 0.500)  0.03
Rb (0.000, 0.000, 0.000)  0.05

Output
**Spin magnetization**: 8.37 μB per formula unit
**Volume**: 23.82 Å³/atom
**Crystal system**: tetragonal
**Calculated formation energy**: 2.39 eV/atom
**Space-group type**: P4/mmm


A plane-wave DFT calculation with PBE-GGA was carried out for an optimized crystal structure of NbGeAu.

abc: 2.920 4.004 9.065
angles: 90.00 90.00 90.00
Sites, in units of the cell vectors:
Nb (0.000, 0.000, 0.881)
Nb (0.000, 0.500, 0.381)
Ge (0.500, 0.000, 0.516)
Ge (0.500, 0.500, 0.016)
Au (0.500, 0.000, 0.195)
Au (0.500, 0.500, 0.695)

Output
**Spin magnetization**: 0.00 μB per formula unit
**Volume**: 17.67 Å³/atom
**Crystal system**: orthorhombic
**Calculated formation energy**: -0.09 eV/atom
**Space-group type**: Amm2